DFT (GGA+U) results for an optimized crystal structure of MnBiAsO5.

Summary:
**DOS(E_F)**: 0.000 states/eV/atom
**Magnetization**: 10.0 μB per cell
**ΔE to the lowest computed polymorph**: 0 meV per atom
**Uncorrected energy**: -104.61 eV for the cell shown

Unit cell a=5.4835 b=7.0248 c=7.0296 alpha=109.58 beta=96.94 gamma=108.53
Closest atoms and distances in Å follow each position.
Space group P-1 (No. 2)
Symmetry-distinct sites (fractional):
Mn (0.1721, 0.2813, 0.1315) (multiplicity 2)  6 O 2.15-2.32
Bi (0.4034, 0.9685, 0.7434) (multiplicity 2)  4 O 2.14-2.37
As (0.1511, 0.3825, 0.6782) (multiplicity 2)  4 O 1.71-1.74
O (0.0699, 0.2094, 0.4163) (multiplicity 2)  1 As 1.74
O (0.1315, 0.5897, 0.2610) (multiplicity 2)  1 As 1.71
O (0.2360, 0.9551, 0.0002) (multiplicity 2)  2 Bi 2.14-2.29, 2 Mn 2.17-2.32
O (0.2763, 0.2737, 0.8360) (multiplicity 2)  1 As 1.73
O (0.4057, 0.6255, 0.7194) (multiplicity 2)  1 As 1.73